Compound: LiPtCl2
Source: the Alexandria database
Functional: GGA-PBE
Structure: optimized geometry

Properties
For the uncorrected formation energy, the calculation gives -616 meV/atom. Its space group is C2/m, No. 12. The calculation puts the total magnetic moment at 0.00 μB per formula unit.

a b c (Å): 6.894 6.907 5.018
angles (deg): 90.00 131.67 90.00
Fractional coordinates of all 8 atoms:
Li (0.000, 0.000, 0.000)
Li (0.500, 0.500, 0.000)
Pt (0.000, 0.500, 0.000)
Pt (0.500, 0.000, 0.000)
Cl (0.250, 0.250, 0.000)
Cl (0.250, 0.750, 0.000)
Cl (0.750, 0.250, 0.000)
Cl (0.750, 0.750, 0.000)